VASP calculation (GGA-PBE) on a relaxed PaTi3O crystal.

CIF file:
```
data_PaTi3O
_chemical_formula_sum 'Pa1 Ti3 O1'
_symmetry_space_group_name_H-M 'P m -3 m'
_symmetry_Int_Tables_number 221
_symmetry_space_group_name_Hall '-P 4 2 3'
_cell_length_a 4.300
_cell_length_b 4.300
_cell_length_c 4.300
_cell_angle_alpha 90.00
_cell_angle_beta 90.00
_cell_angle_gamma 90.00
loop_
_atom_site_label
_atom_site_type_symbol
_atom_site_fract_x
_atom_site_fract_y
_atom_site_fract_z
Pa1 Pa 0.000 0.000 0.000
Ti1 Ti 0.000 0.500 0.500
O1 O 0.500 0.500 0.500
```

Output
* formation energy without anion corrections: -0.815 eV/atom
* calculated volume: 80 Å³/f.u.



VASP calculation (GGA-PBE) on a relaxed FeSiS3 crystal.

CIF file:
```
data_FeSiS3
_chemical_formula_sum 'Fe1 Si1 S3'
_symmetry_space_group_name_H-M 'P m -3 m'
_symmetry_Int_Tables_number 221
_symmetry_space_group_name_Hall '-P 4 2 3'
_cell_length_a 4.491
_cell_length_b 4.491
_cell_length_c 4.491
_cell_angle_alpha 90.00
_cell_angle_beta 90.00
_cell_angle_gamma 90.00
loop_
_atom_site_label
_atom_site_type_symbol
_atom_site_fract_x
_atom_site_fract_y
_atom_site_fract_z
Fe1 Fe 0.000 0.000 0.000
Si1 Si 0.500 0.500 0.500
S1 S 0.000 0.000 0.500
```

Output
* formation energy without anion corrections: 0.462 eV/atom
* E above lowest polymorph: 0.000 eV/atom
* calculated volume: 91 Å³/f.u.